Entry 1:
! Zn11Ga | Alexandria | GGA-PBE | relaxed; values from VASP
&SYSTEM
  ibrav = 0, nat = 24, ntyp = 2
/
ATOMIC_SPECIES
Zn 65.41 Zn.upf
Ga 69.72 Ga.upf
ATOMIC_POSITIONS angstrom
Zn 0.000 0.000 0.000
Zn 2.682 2.682 -1.707
Zn 2.682 -2.682 1.707
Zn 5.364 -2.682 2.560
Zn 4.066 -0.487 1.208
Zn 6.662 -0.487 1.208
Zn 2.195 1.384 0.499
Zn 8.533 1.384 0.499
Zn 4.066 4.877 -1.208
Zn 1.298 -0.487 2.205
Zn 2.195 3.980 0.499
Zn 3.169 -1.384 3.912
Zn 0.000 5.364 0.000
Zn 2.195 6.748 -0.499
Zn 3.169 1.384 2.914
Zn 4.066 5.851 1.208
Zn 1.298 0.487 4.621
Zn -3.169 3.980 2.914
Zn 3.169 3.980 2.914
Zn -1.298 5.851 2.205
Zn 1.298 5.851 2.205
Zn 0.000 8.046 0.853
Ga 5.364 2.682 0.853
Ga 0.000 2.682 2.560
CELL_PARAMETERS angstrom
-5.364 5.364 3.413
5.364 -5.364 3.413
5.364 5.364 -3.413
! - V: 196 Å³/f.u.
! - Magnetization: 0.00 μB/cell
! - ΔE_f: 51.7 meV per atom
! - Space group: I4_1/amd

***

Entry 2:
! ZnCuTe2 | Alexandria | GGA-PBE | relaxed; values from VASP
&SYSTEM
  ibrav = 0, nat = 4, ntyp = 3
/
ATOMIC_SPECIES
Zn 65.41 Zn.upf
Cu 63.55 Cu.upf
Te 127.60 Te.upf
ATOMIC_POSITIONS angstrom
Zn 0.000 0.000 0.000
Cu 3.785 0.000 0.000
Te 1.893 1.894 1.535
Te 1.893 -1.894 1.535
CELL_PARAMETERS angstrom
3.785 -3.789 0.000
3.785 3.789 0.000
0.000 0.000 3.070
! - V: 88 Å³/f.u.
! - ΔE_f (raw): 296 meV per atom
! - Relative energy among the computed polymorphs: 0.5203 eV/atom
! - Magnetization: 0.00 μB/cell
! - Space group: Cmmm

***

Entry 3:
! SmTh4Sb5 | Alexandria | GGA-PBE | relaxed; values from VASP
&SYSTEM
  ibrav = 0, nat = 10, ntyp = 3
/
ATOMIC_SPECIES
Sm 150.36 Sm.upf
Th 232.04 Th.upf
Sb 121.76 Sb.upf
ATOMIC_POSITIONS angstrom
Sm 0.000 0.000 0.000
Th 0.000 0.000 4.495
Th 0.000 0.000 9.015
Th 0.000 0.000 13.506
Th 0.000 0.000 18.025
Sb 2.249 0.000 2.225
Sb 2.249 0.000 6.755
Sb 0.000 3.178 0.000
Sb 0.000 3.178 4.505
Sb 0.000 3.178 9.035
CELL_PARAMETERS angstrom
-2.249 3.178 11.260
2.249 -3.178 11.260
2.249 3.178 -11.260
! - V: 322 Å³/f.u.
! - ΔE_f (raw): -964 meV per atom
! - Magnetization: 0.00 μB/cell
! - Space group: Immm

***

Entry 4:
! TlTcBi2Os | Alexandria | GGA-PBE | relaxed; values from VASP
&SYSTEM
  ibrav = 0, nat = 5, ntyp = 4
/
ATOMIC_SPECIES
Tl 204.38 Tl.upf
Tc 98.00 Tc.upf
Bi 208.98 Bi.upf
Os 190.23 Os.upf
ATOMIC_POSITIONS angstrom
Tl 0.000 0.000 0.000
Tc 2.664 2.664 2.406
Bi 0.000 2.664 2.406
Bi 2.664 0.000 2.406
Os 2.664 2.664 0.000
CELL_PARAMETERS angstrom
5.328 0.000 0.000
0.000 5.328 0.000
0.000 0.000 4.812
! - V: 137 Å³/f.u.
! - Magnetization: 0.00 μB/cell
! - ΔE_f: 1067.3 meV per atom
! - Space group: P4/mmm